Computed, not measured: a PBEsol-optimized structure of MgPAu2 at the meta-GGA SCAN level of DFT.

Cell and atoms, written as POSCAR:
```
MgPAu2
1.0
-3.6296 1.5958 -0.0077
-1.1043 -2.5253 -2.8503
-1.2257 -2.7735 2.9321
Au Mg P
2 1 1
Direct
0.0000 0.5000 0.0000 Au
0.5000 0.0000 0.0000 Au
0.5000 0.5000 0.5000 Mg
0.0000 0.0000 0.5000 P
```

Summary:
The value obtained for the spin magnetization is 0.0 μB/f.u. Its space group is P4/mmm (123). The calculation puts the polymorph energy (0 for the lowest one) at 0.0 kJ/mol of atoms. As for the energy relative to the elements: -0.188 eV/atom.